1.
Pr9Sn2Hg after structural relaxation. Source: the Alexandria database, functional PBE-GGA.

N(E_F): 16.5 states/eV/cell
energy of formation: -419 kJ/mol of formula units
spin magnetization: 0.0 μB/cell

a = 4.9979 Å, b = 4.9979 Å, c = 14.9213 Å
α = 90.00°, β = 90.00°, γ = 90.00°
Space group P4/mmm (No. 123)
Unique sites:
Pr  0.0000  0.0000  0.0000
Pr  0.0000  0.0000  0.3324
Pr  0.0000  0.5000  0.1681
Pr  0.0000  0.5000  0.5000
Sn  0.5000  0.5000  0.3323
Hg  0.5000  0.5000  0.0000

***

2.
Os2RuAu after structural relaxation. Source: the Alexandria database, functional PBE-GGA.

N(E_F): 4.6 states/eV/cell
energy of formation: 168 kJ/mol of formula units
spin magnetization: 0.0 μB/cell
energy above the most stable polymorph in this dataset: 156 meV/atom

a = 2.7438 Å, b = 2.7438 Å, c = 8.0058 Å
α = 90.00°, β = 90.00°, γ = 90.00°
Space group P4/mmm (No. 123)
Unique sites:
Os  0.0000  0.0000  0.2326
Ru  0.5000  0.5000  0.0000
Au  0.5000  0.5000  0.5000

***

3.
RuC3 after structural relaxation. Source: the Alexandria database, functional PBE-GGA.

N(E_F): 2.9 states/eV/cell
energy of formation: 754 kJ/mol of formula units
spin magnetization: 0.0 μB/cell
energy above the most stable polymorph in this dataset: 1047 meV/atom

a = 2.5530 Å, b = 4.0902 Å, c = 5.9977 Å
α = 90.00°, β = 90.00°, γ = 90.00°
Space group Immm (No. 71)
Unique sites:
Ru  0.0000  0.0000  0.0000
C  0.0000  0.0000  0.5000
C  0.0000  0.5000  0.1807

***

4.
GeRu2Cl after structural relaxation. Source: the Alexandria database, functional PBE-GGA.

N(E_F): 19.2 states/eV/cell
spin magnetization: 0.0 μB/cell
formation energy without anion corrections: 502 meV per atom
energy above the most stable polymorph in this dataset: 0 meV/atom

a = 6.1566 Å, b = 6.1566 Å, c = 6.1566 Å
α = 90.00°, β = 90.00°, γ = 90.00°
Space group Fm-3m (No. 225)
Unique sites:
Ge  0.0000  0.0000  0.0000
Ru  0.2500  0.2500  0.2500
Cl  0.0000  0.0000  0.5000

***

5.
Tl2CuBiS4 after structural relaxation. Source: the Alexandria database, functional PBE-GGA.

N(E_F): 15.9 states/eV/cell
spin magnetization: 0.0 μB/cell
formation energy without anion corrections: -178 meV per atom

a = 11.2976 Å, b = 11.0238 Å, c = 8.2519 Å
α = 90.00°, β = 132.28°, γ = 90.00°
Space group C2/c (No. 15)
Unique sites:
Tl  0.0000  0.0000  0.0000
Tl  0.2500  0.2500  0.0000
Cu  0.2500  0.2500  0.5000
Bi  0.0000  0.5000  0.0000
S  0.0389  0.2501  0.5033
S  0.2324  0.4703  0.4727

***

6.
YEr8Pb2 after structural relaxation. Source: the Alexandria database, functional PBE-GGA.

N(E_F): 31.3 states/eV/cell
energy of formation: -67 kJ/mol of formula units
spin magnetization: 0.0 μB/cell

a = 16.4445 Å, b = 6.6612 Å, c = 6.2133 Å
α = 90.00°, β = 93.07°, γ = 90.00°
Space group C2/m (No. 12)
Unique sites:
Y  0.0000  0.0000  0.0000
Er  0.0816  0.5000  0.8804
Er  0.0961  0.2533  0.3973
Er  0.2089  0.0000  0.8449
Pb  0.2432  0.5000  0.6570

***

7.
Rb2Zn3Ag4 after structural relaxation. Source: the Alexandria database, functional PBE-GGA.

N(E_F): 16.0 states/eV/cell
energy of formation: 48 kJ/mol of formula units
spin magnetization: 0.0 μB/cell

a = 7.3107 Å, b = 12.1963 Å, c = 12.2355 Å
α = 90.00°, β = 90.00°, γ = 90.00°
Space group Ibam (No. 72)
Unique sites:
Rb  0.2369  0.1297  0.0000
Zn  0.0000  0.2908  0.2500
Zn  0.0000  0.5000  0.2500
Ag  0.1842  0.1098  0.2844

***

8.
CuSb2Os after structural relaxation. Source: the Alexandria database, functional PBE-GGA.

N(E_F): 5.5 states/eV/cell
spin magnetization: 0.0 μB/cell
formation energy without anion corrections: 675 meV per atom
energy above the most stable polymorph in this dataset: 377 meV/atom

a = 3.2698 Å, b = 5.4645 Å, c = 8.7287 Å
α = 90.00°, β = 90.00°, γ = 90.00°
Space group Cmmm (No. 65)
Unique sites:
Cu  0.0000  0.0000  0.0000
Sb  0.0000  0.5000  0.2530
Os  0.0000  0.0000  0.5000

***

9.
PmPr2Cd after structural relaxation. Source: the Alexandria database, functional PBE-GGA.

N(E_F): 22.3 states/eV/cell
energy of formation: -12 kJ/mol of formula units
spin magnetization: 0.0 μB/cell
energy above the most stable polymorph in this dataset: 118 meV/atom

a = 7.9626 Å, b = 7.9626 Å, c = 7.9626 Å
α = 90.00°, β = 90.00°, γ = 90.00°
Space group Fm-3m (No. 225)
Unique sites:
Pm  0.0000  0.0000  0.0000
Pr  0.2500  0.2500  0.2500
Cd  0.0000  0.0000  0.5000

***

10.
Cs2TlSb3Pb4 after structural relaxation. Source: the Alexandria database, functional PBE-GGA.

N(E_F): 5.7 states/eV/cell
spin magnetization: 0.0 μB/cell
formation energy without anion corrections: -173 meV per atom

a = 5.4084 Å, b = 5.4084 Å, c = 13.4648 Å
α = 90.00°, β = 90.00°, γ = 90.00°
Space group P-4m2 (No. 115)
Unique sites:
Cs  0.0000  0.5000  0.2412
Tl  0.5000  0.5000  0.0000
Sb  0.0000  0.0000  0.0000
Sb  0.0000  0.5000  0.6340
Pb  0.0000  0.0000  0.5000
Pb  0.0000  0.5000  0.8716
Pb  0.5000  0.5000  0.5000

***

11.
NaGaTe2 after structural relaxation. Source: the Alexandria database, functional PBE-GGA.

N(E_F): 4.0 states/eV/cell
spin magnetization: 0.0 μB/cell
formation energy without anion corrections: -299 meV per atom

a = 4.2770 Å, b = 4.2770 Å, c = 6.0221 Å
α = 90.00°, β = 90.00°, γ = 90.00°
Space group P4/mmm (No. 123)
Unique sites:
Na  0.0000  0.0000  0.0000
Ga  0.5000  0.5000  0.5000
Te  0.0000  0.0000  0.5000
Te  0.5000  0.5000  0.0000

***

12.
CsSr2Sn2 after structural relaxation. Source: the Alexandria database, functional PBE-GGA.

N(E_F): 8.3 states/eV/cell
energy of formation: -65 kJ/mol of formula units
spin magnetization: 0.0 μB/cell
energy above the most stable polymorph in this dataset: 286 meV/atom

a = 6.0162 Å, b = 6.0162 Å, c = 13.7082 Å
α = 90.00°, β = 90.00°, γ = 90.00°
Space group I4/mmm (No. 139)
Unique sites:
Cs  0.0000  0.0000  0.0000
Sr  0.0000  0.0000  0.3440
Sn  0.0000  0.5000  0.2500